1.
Compound: La3Tb2Ag2
Source: Alexandria via LeMat-Bulk
Functional: PBE
Structure: optimized geometry

Output
Formation energy from the elements (meV/atom): 19
Symmetry: No. 65
N(E_F) (states/eV/atom): 1.198

a b c (Å): 12.1052 12.1052 3.5317
angles (deg): 90.00 90.00 156.63
Last column: nearest neighbours and their distance in Å.
Sites, in units of the cell vectors:
La1 0.0000 0.0000 0.0000  4 La 3.27-3.53, 8 Ag 3.45
La2 0.1378 0.8622 0.0000  3 La 3.27-3.53, 4 Ag 3.42, 4 Tb 3.44
La3 0.8622 0.1378 0.0000  3 La 3.27-3.53, 4 Ag 3.42, 4 Tb 3.44
Tb1 0.2927 0.7073 0.5000  4 Tb 3.18-3.53, 1 Ag 3.25, 4 La 3.44
Tb2 0.7073 0.2927 0.5000  4 Tb 3.18-3.53, 1 Ag 3.25, 4 La 3.44
Ag1 0.4300 0.5700 0.5000  1 Tb 3.25, 3 Ag 3.32-3.53, 8 La 3.42-3.45
Ag2 0.5700 0.4300 0.5000  1 Tb 3.25, 3 Ag 3.32-3.53, 8 La 3.42-3.45

2.
Compound: Y2CoOs
Source: Alexandria via LeMat-Bulk
Functional: PBE
Structure: optimized geometry

Output
Formation energy from the elements (meV/atom): 426
Symmetry: No. 122
N(E_F) (states/eV/atom): 1.332

a b c (Å): 6.0084 6.0084 6.0084
angles (deg): 104.23 104.23 120.55
Last column: nearest neighbours and their distance in Å.
Sites, in units of the cell vectors:
Y1 0.1074 0.6250 0.9824  2 Co 2.63, 2 Os 2.80
Y2 0.3750 0.3574 0.4824  2 Co 2.63, 2 Os 2.80
Y3 0.6426 0.1250 0.0176  2 Co 2.63, 2 Os 2.80
Y4 0.8750 0.8926 0.5176  2 Co 2.63, 2 Os 2.80
Co1 0.0000 0.0000 0.0000  4 Y 2.63
Co2 0.7500 0.2500 0.5000  4 Y 2.63
Os1 0.2500 0.7500 0.5000  4 Y 2.80, 2 Co 2.98
Os2 0.5000 0.5000 0.0000  4 Y 2.80, 2 Co 2.98

3.
Compound: B5C7
Source: Alexandria via LeMat-Bulk
Functional: PBE
Structure: optimized geometry

Output
Formation energy from the elements (meV/atom): 338
Symmetry: No. 156
N(E_F) (states/eV/atom): 0.252
Energy relative to the lowest polymorph listed for this composition (eV per formula unit): 0.96

a b c (Å): 2.5556 2.5556 13.7319
angles (deg): 90.00 90.00 120.00
Last column: nearest neighbours and their distance in Å.
Sites, in units of the cell vectors:
B1 0.0000 0.0000 0.0000  1 C 1.59
B2 0.0000 0.0000 0.4938  1 C 1.59
B3 0.3333 0.6667 0.7642  4 C 1.62-1.63
B4 0.6667 0.3333 0.4192  1 C 1.59
B5 0.6667 0.3333 0.9239  1 C 1.53
C1 0.0000 0.0000 0.1155  3 C 1.56, 1 B 1.59
C2 0.0000 0.0000 0.6094  3 C 1.55, 1 B 1.59
C3 0.3333 0.6667 0.1528  4 C 1.56
C4 0.3333 0.6667 0.2663  4 C 1.56
C5 0.3333 0.6667 0.6451  3 C 1.55, 1 B 1.63
C6 0.6667 0.3333 0.3035  3 C 1.56, 1 B 1.59
C7 0.6667 0.3333 0.8127  4 B 1.53-1.62

4.
Compound: ReGe3As
Source: Alexandria via LeMat-Bulk
Functional: PBE
Structure: optimized geometry

Output
Formation energy from the elements (meV/atom): 560
Symmetry: No. 221
N(E_F) (states/eV/atom): 0.528
Energy relative to the lowest polymorph listed for this composition (eV per formula unit): 0.00

a b c (Å): 4.8590 4.8590 4.8590
angles (deg): 90.00 90.00 90.00
Last column: nearest neighbours and their distance in Å.
Sites, in units of the cell vectors:
Re1 0.0000 0.0000 0.0000  6 Ge 2.43
Ge1 0.0000 0.0000 0.5000  2 Re 2.43
Ge2 0.0000 0.5000 0.0000  2 Re 2.43
Ge3 0.5000 0.0000 0.0000  2 Re 2.43
As1 0.5000 0.5000 0.5000  12 Ge 3.44